1.
Material: CoHgO3
Method: DFT, PBE with a Hubbard U
State: relaxed

a b c (Å): 3.880 3.880 3.600
angles (deg): 90.00 90.00 90.00
Element x y z (fractional)
Co (0.000, 0.000, 0.000)
Hg (0.500, 0.500, 0.495)
O (0.000, 0.000, 0.500)
O (0.000, 0.500, 0.999)
O (0.500, 0.000, 0.999)

DFT total energy in eV/cell: -20.9
V in Å³ per atom: 10.84
Crystal system: tetragonal
M_tot in μB per formula unit: 0.8

=====

2.
Material: CoHgO3
Method: DFT, PBE with a Hubbard U
State: relaxed

a b c (Å): 4.110 4.110 4.110
angles (deg): 90.00 90.00 90.00
Element x y z (fractional)
Co (0.000, 0.000, 0.000)
Hg (0.500, 0.500, 0.500)
O (0.000, 0.500, 0.500)
O (0.500, 0.000, 0.500)
O (0.500, 0.500, 0.000)

DFT total energy in eV/cell: -17.2
V in Å³ per atom: 13.89
Crystal system: cubic
M_tot in μB per formula unit: 3.0

=====

3.
Material: CoHgSO
Method: DFT, PBE with a Hubbard U
State: relaxed

a b c (Å): 6.562 6.895 12.543
angles (deg): 90.00 90.00 90.00
Element x y z (fractional)
Co (0.032, 0.249, 0.039)
Co (0.032, 0.251, 0.539)
Co (0.468, 0.749, 0.039)
Co (0.468, 0.751, 0.539)
Co (0.532, 0.249, 0.461)
Co (0.532, 0.251, 0.961)
Co (0.968, 0.749, 0.461)
Co (0.968, 0.751, 0.961)
Hg (0.201, 0.522, 0.259)
Hg (0.201, 0.978, 0.759)
Hg (0.299, 0.022, 0.259)
Hg (0.299, 0.478, 0.759)
Hg (0.701, 0.522, 0.241)
Hg (0.701, 0.978, 0.741)
Hg (0.799, 0.022, 0.241)
Hg (0.799, 0.478, 0.741)
S (0.248, 0.000, 0.465)
S (0.248, 0.500, 0.965)
S (0.252, 0.000, 0.965)
S (0.252, 0.500, 0.465)
S (0.748, 0.000, 0.035)
S (0.748, 0.500, 0.535)
S (0.752, 0.000, 0.535)
S (0.752, 0.500, 0.035)
O (0.090, 0.247, 0.190)
O (0.090, 0.253, 0.690)
O (0.410, 0.747, 0.190)
O (0.410, 0.753, 0.690)
O (0.590, 0.247, 0.310)
O (0.590, 0.253, 0.810)
O (0.910, 0.747, 0.310)
O (0.910, 0.753, 0.810)

Relative energy among the computed polymorphs in meV per atom: 211
V in Å³ per atom: 17.74
Crystal system: orthorhombic
M_tot in μB per formula unit: 2.9

=====

4.
Material: CoHgSO
Method: DFT, PBE with a Hubbard U
State: relaxed

a b c (Å): 3.756 3.756 11.277
angles (deg): 90.00 90.00 120.00
Element x y z (fractional)
Co (0.000, 0.000, 0.000)
Co (0.000, 0.000, 0.500)
Hg (0.333, 0.667, 0.257)
Hg (0.667, 0.333, 0.757)
S (0.333, 0.667, 0.579)
S (0.667, 0.333, 0.079)
O (0.000, 0.000, 0.331)
O (0.000, 0.000, 0.831)

Relative energy among the computed polymorphs in meV per atom: 152
V in Å³ per atom: 17.22
Crystal system: hexagonal
M_tot in μB per formula unit: 3.0

=====

5.
Material: CoHgSO
Method: DFT, PBE with a Hubbard U
State: relaxed

a b c (Å): 3.715 12.938 5.832
angles (deg): 90.00 90.00 90.00
Element x y z (fractional)
Co (0.000, 0.066, 0.000)
Co (0.000, 0.934, 0.500)
Co (0.500, 0.434, 0.500)
Co (0.500, 0.566, 0.000)
Hg (0.000, 0.340, 0.963)
Hg (0.000, 0.660, 0.463)
Hg (0.500, 0.160, 0.463)
Hg (0.500, 0.840, 0.963)
S (0.000, 0.332, 0.400)
S (0.000, 0.668, 0.900)
S (0.500, 0.168, 0.900)
S (0.500, 0.832, 0.400)
O (0.000, 0.064, 0.336)
O (0.000, 0.936, 0.836)
O (0.500, 0.436, 0.836)
O (0.500, 0.564, 0.336)

Relative energy among the computed polymorphs in meV per atom: 62
V in Å³ per atom: 17.52
Crystal system: orthorhombic
M_tot in μB per formula unit: 3.0

=====

6.
Material: CoHgSO
Method: DFT, PBE with a Hubbard U
State: relaxed

a b c (Å): 2.799 17.055 5.409
angles (deg): 90.00 90.00 90.00
Element x y z (fractional)
Co (0.000, 0.031, 0.250)
Co (0.000, 0.969, 0.750)
Co (0.500, 0.469, 0.750)
Co (0.500, 0.531, 0.250)
Hg (0.000, 0.330, 0.250)
Hg (0.000, 0.670, 0.750)
Hg (0.500, 0.170, 0.750)
Hg (0.500, 0.830, 0.250)
S (0.000, 0.337, 0.750)
S (0.000, 0.663, 0.250)
S (0.500, 0.163, 0.250)
S (0.500, 0.837, 0.750)
O (0.000, 0.500, 0.000)
O (0.000, 0.500, 0.500)
O (0.500, 0.000, 0.000)
O (0.500, 0.000, 0.500)

Relative energy among the computed polymorphs in meV per atom: 204
V in Å³ per atom: 16.14
Crystal system: orthorhombic
M_tot in μB per formula unit: 2.8

=====

Q: Among the records above, which one has the highest V?
A: number 3